A plane-wave DFT calculation with PBE was carried out for a relaxed CaCdIn2 crystal.

Summary:
- energy (eV/cell) = -9.28
- volume (Å³ per cell) = 106.6
- energy of formation (meV per atom) = -222

Cell: 3.7884 3.7884 7.4280 Å, 90.00 90.00 90.08°
Element x y z (fractional)
Ca (0.5000, 0.5000, 0.2500)
Cd (0.5000, 0.5000, 0.7500)
In (0.0000, 0.0000, 0.9711)
In (0.0000, 0.0000, 0.5289)